Here is a geometry-optimized SrIr3Ru structure from the Alexandria database. Energies are from PBE. Values from VASP.

Output
Energy above the most stable polymorph in this dataset = 0 meV/atom

Quantum ESPRESSO input file:
```
&SYSTEM
  ibrav = 0, nat = 5, ntyp = 3
/
ATOMIC_SPECIES
Sr 87.62 Sr.upf
Ir 192.22 Ir.upf
Ru 101.07 Ru.upf
CELL_PARAMETERS angstrom
4.7948 0.0000 0.0000
0.0000 4.7948 0.0000
0.0000 0.0000 4.7948
ATOMIC_POSITIONS angstrom
Sr 0.0000 0.0000 0.0000
Ir 0.0000 2.3974 2.3974
Ir 2.3974 0.0000 2.3974
Ir 2.3974 2.3974 0.0000
Ru 2.3974 2.3974 2.3974
```